(1)
SmPu2Th3Se6: optimized geometry, PBE.

abc: 7.145 7.145 7.367
angles: 99.30 99.30 119.99
Fractional coordinates of all 12 atoms:
Pu: 0.667 0.333 0.000
Pu: 0.333 0.667 0.000
Se: 0.081 0.417 0.242
Se: 0.256 0.256 0.761
Se: 0.417 0.081 0.242
Se: 0.919 0.583 0.758
Se: 0.744 0.744 0.239
Se: 0.583 0.919 0.758
Th: 0.500 0.500 0.500
Th: 0.164 0.836 0.500
Th: 0.836 0.164 0.500
Sm: 0.000 0.000 0.000

Output
- N(E_F): 1.463 states/eV/atom
- ΔE_f (raw): -154 kJ per mole of atoms
- Space-group type: C2/m (12)
- Total DFT energy (no corrections): -7.972 eV per atom
- Magnetization: 0.938 μB per atom

(2)
Nb2CuAg2S6: optimized geometry, PBE.

abc: 6.269 6.269 7.077
angles: 98.63 98.63 119.58
Fractional coordinates of all 11 atoms:
S: 0.715 0.715 0.747
S: 0.048 0.382 0.682
S: 0.618 0.952 0.318
S: 0.285 0.285 0.253
S: 0.382 0.048 0.682
S: 0.952 0.618 0.318
Nb: 0.360 0.640 0.500
Nb: 0.640 0.360 0.500
Ag: 0.644 0.356 0.000
Ag: 0.356 0.644 0.000
Cu: 0.000 0.000 0.500

Output
- N(E_F): 0.556 states/eV/atom
- ΔE_f (raw): -47 kJ per mole of atoms
- Space-group type: C2/m (12)
- Total DFT energy (no corrections): -5.462 eV per atom
- Magnetization: 0.064 μB per atom

(3)
HoGa2Cu2Pd: optimized geometry, PBE.

abc: 4.717 4.717 5.337
angles: 90.00 90.00 90.00
Fractional coordinates of all 6 atoms:
Ga: 0.500 0.000 0.000
Ga: 0.000 0.500 0.000
Cu: 0.500 0.500 0.268
Cu: 0.500 0.500 0.732
Ho: 0.000 0.000 0.500
Pd: 0.000 0.000 0.000

Output
- N(E_F): 0.617 states/eV/atom
- E_form: -72 meV per atom
- Space-group type: P4/mmm (123)
- Total DFT energy (no corrections): -4.074 eV per atom
- Magnetization: 0.000 μB per atom

(4)
OF: optimized geometry, PBE.

abc: 5.484 5.484 3.878
angles: 90.00 90.00 90.00
Fractional coordinates of all 8 atoms:
O: 0.426 0.574 0.000
O: 0.074 0.074 0.500
O: 0.574 0.426 0.000
O: 0.926 0.926 0.500
F: 0.692 0.308 0.500
F: 0.808 0.808 0.000
F: 0.308 0.692 0.500
F: 0.192 0.192 0.000

Output
- N(E_F): 1.041 states/eV/atom
- ΔE_f (raw): 14 kJ per mole of atoms
- Polymorph energy (0 for the lowest one): 0.292 eV/atom
- Space-group type: P4_2/mnm (136)
- Total DFT energy (no corrections): -3.268 eV per atom
- Magnetization: 0.007 μB per atom

(5)
Sn2Bi3: optimized geometry, PBE.

abc: 5.616 5.616 5.616
angles: 93.81 93.81 93.81
Fractional coordinates of all 5 atoms:
Sn: 0.321 0.321 0.321
Sn: 0.679 0.679 0.679
Bi: 0.761 0.000 0.239
Bi: 0.239 0.761 0.000
Bi: 0.000 0.239 0.761

Output
- N(E_F): 0.648 states/eV/atom
- Polymorph energy (0 for the lowest one): 0.000 eV/atom
- E_form: 153 meV per atom
- Space-group type: R32 (155)
- Total DFT energy (no corrections): -3.776 eV per atom
- Magnetization: 0.000 μB per atom

(6)
AlMoW2: optimized geometry, PBE.

abc: 9.569 9.569 9.569
angles: 16.85 16.85 16.85
Fractional coordinates of all 4 atoms:
W: 0.248 0.248 0.248
W: 0.000 0.000 0.000
Mo: 0.752 0.752 0.752
Al: 0.500 0.500 0.500

Output
- N(E_F): 0.862 states/eV/atom
- E_form: 252 meV per atom
- Space-group type: R3m (160)
- Total DFT energy (no corrections): -9.868 eV per atom
- Magnetization: 0.000 μB per atom

(7)
PrSm3Pb2: optimized geometry, PBE.

abc: 4.652 4.652 8.895
angles: 90.00 90.00 90.00
Fractional coordinates of all 6 atoms:
Pb: 0.000 0.500 0.287
Pb: 0.500 0.000 0.713
Sm: 0.000 0.000 0.000
Sm: 0.500 0.000 0.347
Sm: 0.000 0.500 0.653
Pr: 0.500 0.500 0.000

Output
- N(E_F): 1.090 states/eV/atom
- Polymorph energy (0 for the lowest one): 0.000 eV/atom
- E_form: -432 meV per atom
- Space-group type: P-4m2 (115)
- Total DFT energy (no corrections): -4.824 eV per atom
- Magnetization: 0.000 μB per atom

(8)
GaB2As: optimized geometry, PBE.

abc: 4.954 9.477 5.632
angles: 90.00 118.15 90.00
Fractional coordinates of all 16 atoms:
Ga: 0.275 0.751 0.858
Ga: 0.275 0.249 0.858
Ga: 0.275 0.749 0.358
Ga: 0.275 0.251 0.358
B: 0.739 0.815 0.247
B: 0.809 0.685 0.479
B: 0.739 0.685 0.747
B: 0.809 0.185 0.979
B: 0.809 0.815 0.979
B: 0.739 0.185 0.247
B: 0.739 0.315 0.747
B: 0.809 0.315 0.479
As: 0.935 0.000 0.857
As: 0.935 0.500 0.357
As: 0.612 0.500 0.868
As: 0.612 0.000 0.368

Output
- N(E_F): 0.181 states/eV/atom
- Polymorph energy (0 for the lowest one): 0.093 eV/atom
- E_form: 307 meV per atom
- Space-group type: Cm (8)
- Total DFT energy (no corrections): -4.951 eV per atom
- Magnetization: 0.000 μB per atom

(9)
Er12Cd3Si5: optimized geometry, PBE.

abc: 14.786 14.786 14.786
angles: 109.47 109.47 109.47
Fractional coordinates of all 80 atoms:
Cd: 0.125 0.250 0.875
Cd: 0.250 0.125 0.375
Cd: 0.875 0.750 0.125
Cd: 0.750 0.875 0.625
Cd: 0.625 0.250 0.375
Cd: 0.875 0.125 0.250
Cd: 0.125 0.875 0.750
Cd: 0.250 0.625 0.875
Cd: 0.375 0.625 0.250
Cd: 0.375 0.750 0.625
Cd: 0.750 0.375 0.125
Cd: 0.625 0.375 0.750
Si: 0.000 0.000 0.500
Si: 0.875 0.625 0.750
Si: 0.500 0.500 0.500
Si: 0.750 0.125 0.875
Si: 0.375 0.125 0.750
Si: 0.250 0.375 0.625
Si: 0.000 0.000 0.000
Si: 0.750 0.625 0.375
Si: 0.500 0.000 0.500
Si: 0.375 0.250 0.125
Si: 0.250 0.875 0.125
Si: 0.125 0.750 0.375
Si: 0.000 0.500 0.000
Si: 0.625 0.875 0.250
Si: 0.500 0.500 0.000
Si: 0.125 0.375 0.250
Si: 0.625 0.750 0.875
Si: 0.500 0.000 0.000
Si: 0.000 0.500 0.500
Si: 0.875 0.250 0.625
Er: 0.457 0.785 0.876
Er: 0.081 0.172 0.457
Er: 0.285 0.876 0.957
Er: 0.624 0.043 0.215
Er: 0.457 0.672 0.081
Er: 0.328 0.543 0.419
Er: 0.215 0.543 0.624
Er: 0.581 0.957 0.672
Er: 0.124 0.715 0.543
Er: 0.919 0.092 0.876
Er: 0.908 0.828 0.785
Er: 0.828 0.919 0.043
Er: 0.592 0.715 0.672
Er: 0.592 0.876 0.419
Er: 0.785 0.457 0.376
Er: 0.043 0.624 0.715
Er: 0.919 0.828 0.543
Er: 0.624 0.581 0.908
Er: 0.172 0.092 0.715
Er: 0.828 0.908 0.285
Er: 0.957 0.581 0.172
Er: 0.376 0.957 0.785
Er: 0.957 0.376 0.285
Er: 0.043 0.419 0.828
Er: 0.124 0.408 0.081
Er: 0.285 0.408 0.828
Er: 0.785 0.328 0.908
Er: 0.715 0.124 0.043
Er: 0.715 0.592 0.172
Er: 0.876 0.285 0.457
Er: 0.908 0.081 0.624
Er: 0.543 0.215 0.124
Er: 0.408 0.124 0.581
Er: 0.215 0.672 0.092
Er: 0.543 0.328 0.919
Er: 0.376 0.419 0.092
Er: 0.092 0.919 0.376
Er: 0.328 0.785 0.408
Er: 0.876 0.592 0.919
Er: 0.408 0.285 0.328
Er: 0.419 0.376 0.592
Er: 0.092 0.172 0.215
Er: 0.581 0.624 0.408
Er: 0.172 0.081 0.957
Er: 0.081 0.908 0.124
Er: 0.672 0.215 0.592
Er: 0.419 0.043 0.328
Er: 0.672 0.457 0.581

Output
- N(E_F): 1.139 states/eV/atom
- ΔE_f (raw): -1 kJ per mole of atoms
- Space-group type: Ia-3d (230)
- Total DFT energy (no corrections): -4.238 eV per atom
- Magnetization: 0.000 μB per atom

(10)
ZnNi3Sb: optimized geometry, PBE.

abc: 4.631 4.631 4.631
angles: 90.00 90.00 90.00
Fractional coordinates of all 5 atoms:
Ni: 0.000 0.000 0.500
Ni: 0.500 0.000 0.000
Ni: 0.000 0.500 0.000
Sb: 0.000 0.000 0.000
Zn: 0.500 0.500 0.500

Output
- N(E_F): 1.089 states/eV/atom
- ΔE_f (raw): 80 kJ per mole of atoms
- Polymorph energy (0 for the lowest one): 0.229 eV/atom
- Space-group type: Pm-3m (221)
- Total DFT energy (no corrections): -3.718 eV per atom
- Magnetization: 0.000 μB per atom

(11)
BaZnGa2Fe: optimized geometry, PBE.

abc: 4.696 4.696 4.876
angles: 90.00 90.00 90.00
Fractional coordinates of all 5 atoms:
Fe: 0.000 0.000 0.000
Ga: 0.000 0.500 0.000
Ga: 0.500 0.000 0.000
Ba: 0.500 0.500 0.500
Zn: 0.000 0.000 0.500

Output
- N(E_F): 0.320 states/eV/atom
- E_form: -268 meV per atom
- Space-group type: P4/mmm (123)
- Total DFT energy (no corrections): -3.811 eV per atom
- Magnetization: 0.000 μB per atom

(12)
Cs3KNp2Se6: optimized geometry, PBE.

abc: 4.364 9.895 10.671
angles: 108.19 101.80 90.00
Fractional coordinates of all 12 atoms:
Cs: 0.500 0.500 0.000
Cs: 0.154 0.835 0.307
Cs: 0.846 0.165 0.693
Se: 0.318 0.459 0.635
Se: 0.674 0.149 0.348
Se: 0.682 0.541 0.365
Se: 0.326 0.851 0.652
Se: 0.036 0.259 0.071
Se: 0.964 0.741 0.929
Np: 0.172 0.337 0.343
Np: 0.828 0.663 0.657
K: 0.500 0.000 0.000

Output
- N(E_F): 1.241 states/eV/atom
- ΔE_f (raw): -117 kJ per mole of atoms
- Space-group type: C2/m (12)
- Total DFT energy (no corrections): -5.413 eV per atom
- Magnetization: 0.500 μB per atom